No. 1
Tl2CuSb | PBE | optimized geometry

## Properties
Calculated density = 9641 kg/m3
Offset from the most stable computed form = 0.282 eV/atom
Raw formation energy = 0.30 eV/atom

Cell lengths 5.3140, 3.4384, 5.8498 Å; angles 90.00, 106.81, 90.00 degrees
Last column: nearest neighbours and their distance in Å.
Sites, in units of the cell vectors:
Tl1 0.0000 0.0000 0.0000  6 Tl 3.16-3.44, 2 Sb 3.33, 4 Cu 3.39
Tl2 0.5000 0.5000 0.0000  6 Tl 3.16-3.44, 2 Cu 3.33, 4 Sb 3.39
Cu1 0.0000 0.5000 0.5000  4 Sb 3.16, 6 Tl 3.33-3.39, 2 Cu 3.44
Sb1 0.5000 0.0000 0.5000  4 Cu 3.16, 6 Tl 3.33-3.39, 2 Sb 3.44

No. 2
Tl2CuSb | PBE | optimized geometry

## Properties
Calculated density = 9620 kg/m3
Offset from the most stable computed form = 0.259 eV/atom
Raw formation energy = 0.28 eV/atom

Cell lengths 4.3548, 4.3548, 5.4072 Å; angles 90.00, 90.00, 90.00 degrees
Last column: nearest neighbours and their distance in Å.
Sites, in units of the cell vectors:
Tl1 0.0000 0.5000 0.0000  4 Tl 3.08
Tl2 0.5000 0.0000 0.0000  4 Tl 3.08
Cu1 0.0000 0.0000 0.5000  4 Sb 3.08
Sb1 0.5000 0.5000 0.5000  4 Cu 3.08

- Among the records above, which one has the highest offset from the most stable computed form?
  number 1

- offset from the most stable computed form of number 2 (Tl2CuSb)?
  0.259 eV/atom

- Which of these has the highest calculated density?
  number 1